Model i:
PmPr3In3: relaxed, PBE.

Geometry as POSCAR:
```
PmPr3In3
1.0
-1.2787 -3.9038 3.2935
7.2699 -5.4040 -3.5830
1.5932 5.8867 7.5961
Pm Pr In
2 6 6
Cartesian
5.0580 -2.6164 0.9668 Pm
2.5264 -0.8047 6.3399 Pm
6.4169 -0.6024 3.8815 Pr
3.0091 3.6125 7.5545 Pr
0.0713 0.4315 2.6434 Pr
1.1676 -2.8187 3.4251 Pr
4.5753 -7.0336 -0.2478 Pr
7.5132 -3.8526 4.6633 Pr
4.3577 -3.0445 4.3960 In
2.4791 -4.9883 1.3626 In
6.4192 -5.6720 2.0819 In
3.2268 -0.3766 2.9106 In
5.1053 1.5673 5.9440 In
1.1652 2.2510 5.2247 In
```

- Symmetry: P6_3/m (176)
- Volume: 30.9 Å³/atom
- Total magnetization: 0.0 μB per formula unit

Model ii:
PmPr3In3: relaxed, PBE.

Geometry as POSCAR:
```
PmPr3In3
1.0
9.6412 0.0000 0.0000
0.0000 9.6412 0.0000
0.0000 0.0000 9.6412
Pm Pr In
4 12 12
Cartesian
0.7265 5.5471 8.9148 Pm
8.9148 0.7265 5.5471 Pm
4.0941 4.0941 4.0941 Pm
5.5471 8.9148 0.7265 Pm
7.9661 3.1455 1.6751 Pr
8.9384 8.9384 8.9384 Pr
7.9522 6.5097 3.1315 Pr
1.6751 7.9661 3.1455 Pr
1.6891 1.6891 1.6891 Pr
3.1315 7.9522 6.5097 Pr
0.7029 4.1177 5.5235 Pr
3.1455 1.6751 7.9661 Pr
6.5097 3.1315 7.9522 Pr
6.4957 6.4957 6.4957 Pr
5.5235 0.7029 4.1177 Pr
4.1177 5.5235 0.7029 Pr
7.2522 6.0519 9.6306 In
8.4099 0.0106 2.4316 In
9.6306 7.2522 6.0519 In
1.2313 4.8312 2.3890 In
2.3890 1.2313 4.8312 In
2.4316 8.4099 0.0106 In
0.0106 2.4316 8.4099 In
3.5893 4.8100 7.2097 In
4.8312 2.3890 1.2313 In
6.0519 9.6306 7.2522 In
7.2097 3.5893 4.8100 In
4.8100 7.2097 3.5893 In
```

- Symmetry: P2_13 (198)
- Volume: 32.0 Å³/atom
- Total magnetization: 0.0 μB per formula unit

It is model i that is the least stable of them.

Model i:
Pm3Pr2In: relaxed, PBE.

Geometry as POSCAR:
```
Pm3Pr2In
1.0
5.0050 0.0000 0.0000
0.0000 4.7177 -1.5952
0.0000 0.1441 8.2002
Pm Pr In
3 2 1
Cartesian
2.5025 0.8096 2.3946 Pm
2.5025 2.3589 -0.7976 Pm
2.5025 4.0522 4.2105 Pm
0.0000 3.1715 1.6058 Pr
0.0000 1.6904 4.9993 Pr
0.0000 0.0000 0.0000 In
```

- Symmetry: Cmmm (65)
- Volume: 32.5 Å³/atom
- Total magnetization: 0.0 μB per formula unit

Model ii:
Pm3Pr2In: relaxed, PBE.

Geometry as POSCAR:
```
Pm3Pr2In
1.0
6.9429 0.0000 0.0000
0.0000 6.6508 0.0310
-3.4714 -1.6842 8.6220
Pm Pr In
6 4 2
Cartesian
5.3935 1.6627 0.0077 Pm
1.5494 4.9881 0.0232 Pm
-0.7626 -0.3310 2.8370 Pm
2.7089 1.9721 5.8005 Pm
0.7626 2.9945 2.8525 Pm
4.2340 5.2976 5.8159 Pm
4.1353 3.2807 2.7814 Pr
2.8075 -0.0447 2.7659 Pr
0.6639 5.0113 5.8870 Pr
-0.6639 1.6859 5.8715 Pr
4.9793 4.9881 0.0232 In
1.9635 1.6627 0.0077 In
```

- Symmetry: C2/c (15)
- Volume: 33.2 Å³/atom
- Total magnetization: 0.0 μB per formula unit

It is model ii that is the least stable of them.